DFT (PBE-GGA) results for a relaxed structure of VSiSb2.

Cell and atoms, written as CIF:
```
data_VSiSb2
_cell_length_a 6.360
_cell_length_b 6.360
_cell_length_c 11.463
_cell_angle_alpha 90.00
_cell_angle_beta 90.00
_cell_angle_gamma 90.00
_space_group_name_H-M_alt 'I -4 2 d'
_space_group_IT_number 122
_space_group_name_Hall 'I -4 2bw'
loop_
_atom_site_label
_atom_site_type_symbol
_atom_site_fract_x
_atom_site_fract_y
_atom_site_fract_z
V1 V 0.000 0.000 0.000
Si1 Si 0.000 0.000 0.500
Sb1 Sb 0.236 0.250 0.625
```

Summary:
crystal system: tetragonal
final energy: -5.30 eV per atom
formation energy from raw total energies: 0.399 eV/atom
volume: 28.98 Å³ per atom

DFT (PBE-GGA) results for a relaxed structure of LaEuGaAu.

Cell and atoms, written as CIF:
```
data_LaEuGaAu
_cell_length_a 7.541
_cell_length_b 7.541
_cell_length_c 7.541
_cell_angle_alpha 90.00
_cell_angle_beta 90.00
_cell_angle_gamma 90.00
_space_group_name_H-M_alt 'F -4 3 m'
_space_group_IT_number 216
_space_group_name_Hall 'F -4 2 3'
loop_
_atom_site_label
_atom_site_type_symbol
_atom_site_fract_x
_atom_site_fract_y
_atom_site_fract_z
La1 La 0.000 0.000 0.000
Eu1 Eu 0.000 0.000 0.500
Ga1 Ga 0.250 0.250 0.750
Au1 Au 0.250 0.250 0.250
```

Summary:
crystal system: cubic
final energy: -6.01 eV per atom
volume: 26.80 Å³ per atom

DFT (PBE-GGA) results for a relaxed structure of LaErAu.

Cell and atoms, written as CIF:
```
data_LaErAu
_cell_length_a 4.9465
_cell_length_b 4.9465
_cell_length_c 4.0817
_cell_angle_alpha 90.00
_cell_angle_beta 90.00
_cell_angle_gamma 120.00
_space_group_name_H-M_alt 'P 3 m 1'
_space_group_IT_number 156
_space_group_name_Hall 'P 3 -2"'
loop_
_atom_site_label
_atom_site_type_symbol
_atom_site_fract_x
_atom_site_fract_y
_atom_site_fract_z
La1 La 0.0000 0.0000 0.0000
Er1 Er 0.3333 0.6667 0.4937
Au1 Au 0.6667 0.3333 0.5520
```

Summary:
crystal system: trigonal
final energy: -4.69 eV per atom
E above lowest polymorph: 168 meV per atom
volume: 28.83 Å³ per atom

DFT (PBE-GGA) results for a relaxed structure of Na2Cu4F9.

Cell and atoms, written as CIF:
```
data_Na2Cu4F9
_cell_length_a 5.399
_cell_length_b 5.435
_cell_length_c 14.798
_cell_angle_alpha 88.25
_cell_angle_beta 89.78
_cell_angle_gamma 60.32
_space_group_name_H-M_alt 'P -1'
_space_group_IT_number 2
_space_group_name_Hall '-P 1'
loop_
_atom_site_label
_atom_site_type_symbol
_atom_site_fract_x
_atom_site_fract_y
_atom_site_fract_z
Na1 Na 0.025 0.012 0.148
Na2 Na 0.037 0.990 0.352
Cu1 Cu 0.286 0.339 0.684
Cu2 Cu 0.328 0.334 0.985
Cu3 Cu 0.337 0.335 0.486
Cu4 Cu 0.374 0.341 0.184
F1 F 0.025 0.368 0.410
F2 F 0.028 0.380 0.078
F3 F 0.059 0.660 0.248
F4 F 0.282 0.658 0.747
F5 F 0.319 0.069 0.581
F6 F 0.387 0.002 0.250
F7 F 0.388 0.929 0.920
F8 F 0.393 0.633 0.091
F9 F 0.408 0.622 0.422
```

Summary:
crystal system: triclinic
final energy: -4.18 eV per atom
formation energy from raw total energies: -1.790 eV/atom
volume: 12.57 Å³ per atom

DFT (PBE-GGA) results for a relaxed structure of Pm5MgO8.

Cell and atoms, written as CIF:
```
data_Pm5MgO8
_cell_length_a 7.326
_cell_length_b 7.326
_cell_length_c 7.255
_cell_angle_alpha 90.00
_cell_angle_beta 90.00
_cell_angle_gamma 90.00
_space_group_name_H-M_alt 'I -4'
_space_group_IT_number 82
_space_group_name_Hall 'I -4'
loop_
_atom_site_label
_atom_site_type_symbol
_atom_site_fract_x
_atom_site_fract_y
_atom_site_fract_z
Pm1 Pm 0.000 0.000 0.000
Pm2 Pm 0.150 0.740 0.611
Mg1 Mg 0.000 0.500 0.250
O1 O 0.049 0.791 0.298
O2 O 0.078 0.684 0.923
```

Summary:
crystal system: tetragonal
final energy: -7.66 eV per atom
formation energy from raw total energies: -3.016 eV/atom
volume: 13.91 Å³ per atom

DFT (PBE-GGA) results for a relaxed structure of La2Tb2Mg.

Cell and atoms, written as CIF:
```
data_La2Tb2Mg
_cell_length_a 3.674
_cell_length_b 3.697
_cell_length_c 24.139
_cell_angle_alpha 90.00
_cell_angle_beta 90.00
_cell_angle_gamma 90.00
_space_group_name_H-M_alt 'I m m m'
_space_group_IT_number 71
_space_group_name_Hall '-I 2 2'
loop_
_atom_site_label
_atom_site_type_symbol
_atom_site_fract_x
_atom_site_fract_y
_atom_site_fract_z
La1 La 0.000 0.000 0.094
Tb1 Tb 0.000 0.000 0.300
Mg1 Mg 0.000 0.000 0.500
```

Summary:
crystal system: orthorhombic
final energy: -4.16 eV per atom
E above lowest polymorph: 0 meV per atom
volume: 32.79 Å³ per atom

DFT (PBE-GGA) results for a relaxed structure of CoIr2Au.

Cell and atoms, written as CIF:
```
data_CoIr2Au
_cell_length_a 3.876
_cell_length_b 3.876
_cell_length_c 3.904
_cell_angle_alpha 90.00
_cell_angle_beta 90.00
_cell_angle_gamma 90.00
_space_group_name_H-M_alt 'P 4/m m m'
_space_group_IT_number 123
_space_group_name_Hall '-P 4 2'
loop_
_atom_site_label
_atom_site_type_symbol
_atom_site_fract_x
_atom_site_fract_y
_atom_site_fract_z
Co1 Co 0.000 0.000 0.000
Ir1 Ir 0.000 0.500 0.500
Au1 Au 0.500 0.500 0.000
```

Summary:
crystal system: tetragonal
final energy: -6.66 eV per atom
E above lowest polymorph: 193 meV per atom
volume: 14.66 Å³ per atom

DFT (PBE-GGA) results for a relaxed structure of Ce2Tl3.

Cell and atoms, written as CIF:
```
data_Ce2Tl3
_cell_length_a 3.586
_cell_length_b 4.770
_cell_length_c 16.871
_cell_angle_alpha 90.00
_cell_angle_beta 90.00
_cell_angle_gamma 90.00
_space_group_name_H-M_alt 'I m m m'
_space_group_IT_number 71
_space_group_name_Hall '-I 2 2'
loop_
_atom_site_label
_atom_site_type_symbol
_atom_site_fract_x
_atom_site_fract_y
_atom_site_fract_z
Ce1 Ce 0.000 0.000 0.099
Tl1 Tl 0.000 0.000 0.298
Tl2 Tl 0.000 0.000 0.500
```

Summary:
crystal system: orthorhombic
final energy: -3.94 eV per atom
E above lowest polymorph: 59 meV per atom
volume: 28.85 Å³ per atom